[1]
The following is a PBE calculation of PmPr4Tl after structural relaxation, from the Alexandria database.

It has space group P4/mmm (No. 123), with a = 4.2649 Å, b = 4.2649 Å, c = 11.0655 Å, α = 90.00°, β = 90.00° and γ = 90.00°. Symmetry generates all atoms from Pm at (0.0000, 0.0000, 0.0000), Pr at (0.0000, 0.0000, 0.3506), Pr at (0.5000, 0.5000, 0.1672) and Tl at (0.5000, 0.5000, 0.5000).

The value obtained for the offset from the most stable computed form is 17 meV/atom. The value obtained for the formation energy is -0.26 eV/f.u.

***

[2]
The following is a PBE calculation of Pm8PrTl2 after structural relaxation, from the Alexandria database.

It has space group C2/m (No. 12), with a = 17.4604 Å, b = 6.7796 Å, c = 6.2412 Å, α = 90.00°, β = 103.04° and γ = 90.00°. Symmetry generates all atoms from Pm at (0.0039, 0.0000, 0.2428), Pm at (0.1311, 0.5000, 0.0813), Pm at (0.1745, 0.2394, 0.6183), Pr at (0.0000, 0.5000, 0.5000) and Tl at (0.1773, 0.0000, 0.1046).

The value obtained for the offset from the most stable computed form is 53 meV/atom. The value obtained for the formation energy is -0.57 eV/f.u.

***

[3]
The following is a PBE calculation of Pm5PrTl2 after structural relaxation, from the Alexandria database.

It has space group Immm (No. 71), with a = 3.7494 Å, b = 10.8700 Å, c = 12.7709 Å, α = 90.00°, β = 90.00° and γ = 90.00°. Symmetry generates all atoms from Pm at (0.0000, 0.0000, 0.0000), Pm at (0.0000, 0.2777, 0.3625), Pr at (0.0000, 0.5000, 0.0000) and Tl at (0.0000, 0.0000, 0.2683).

The value obtained for the offset from the most stable computed form is 75 meV/atom. The value obtained for the formation energy is -1.04 eV/f.u.

***

[4]
The following is a PBE calculation of PmPr4Tl5 after structural relaxation, from the Alexandria database.

It has space group P4/mmm (No. 123), with a = 3.9137 Å, b = 3.9137 Å, c = 19.6938 Å, α = 90.00°, β = 90.00° and γ = 90.00°. Symmetry generates all atoms from Pm at (0.0000, 0.0000, 0.0000), Pr at (0.0000, 0.0000, 0.1979), Pr at (0.0000, 0.0000, 0.3993), Tl at (0.5000, 0.5000, 0.0968), Tl at (0.5000, 0.5000, 0.2986) and Tl at (0.5000, 0.5000, 0.5000).

The value obtained for the formation energy is -3.94 eV/f.u.

***

[5]
The following is a PBE calculation of Pm4Pr5Tl after structural relaxation, from the Alexandria database.

It has space group P4/mmm (No. 123), with a = 4.2987 Å, b = 4.2987 Å, c = 18.4298 Å, α = 90.00°, β = 90.00° and γ = 90.00°. Symmetry generates all atoms from Pm at (0.0000, 0.0000, 0.1018), Pm at (0.0000, 0.0000, 0.3041), Pr at (0.5000, 0.5000, 0.0000), Pr at (0.5000, 0.5000, 0.2047), Pr at (0.5000, 0.5000, 0.4108) and Tl at (0.0000, 0.0000, 0.5000).

The value obtained for the offset from the most stable computed form is 0 meV/atom. The value obtained for the formation energy is 0.13 eV/f.u.

***

[6]
The following is a PBE calculation of Pm4Pr5Tl after structural relaxation, from the Alexandria database.

It has space group I4mm (No. 107), with a = 10.7756 Å, b = 10.7756 Å, c = 6.1606 Å, α = 90.00°, β = 90.00° and γ = 90.00°. Symmetry generates all atoms from Pm at (0.0000, 0.3147, 0.0000), Pr at (0.0000, 0.0000, 0.2018), Pr at (0.1879, 0.1879, 0.4875) and Tl at (0.0000, 0.0000, 0.7249).

The value obtained for the offset from the most stable computed form is 107 meV/atom. The value obtained for the formation energy is 1.20 eV/f.u.

***

no.,ρ (g cm⁻³),final energy (eV per atom)
1,7.532,-4.42
2,7.889,-4.37
3,8.133,-4.29
4,9.526,-3.96
5,7.260,-4.51
6,6.913,-4.41